i.
NaLaZnS3: optimized geometry, PBE.

## Properties
Space-group type: Pnma

Cell: 11.398 4.096 11.650 Å, 90.00 90.00 90.00°
Positions (direct):
Na 0.151 0.250 0.011
Na 0.349 0.750 0.511
Na 0.651 0.250 0.489
Na 0.849 0.750 0.989
La 0.023 0.250 0.678
La 0.477 0.750 0.178
La 0.523 0.250 0.822
La 0.977 0.750 0.322
Zn 0.246 0.250 0.294
Zn 0.254 0.750 0.794
Zn 0.746 0.250 0.206
Zn 0.754 0.750 0.706
S 0.061 0.750 0.851
S 0.108 0.250 0.439
S 0.213 0.750 0.188
S 0.287 0.250 0.688
S 0.392 0.750 0.939
S 0.439 0.250 0.351
S 0.561 0.750 0.649
S 0.608 0.250 0.061
S 0.713 0.750 0.312
S 0.787 0.250 0.812
S 0.892 0.750 0.561
S 0.939 0.250 0.149


ii.
NaLaZnS3: optimized geometry, PBE.

## Properties
Space-group type: Pnma

Cell: 13.306 4.062 11.374 Å, 90.00 90.00 90.00°
Positions (direct):
Na 0.237 0.250 0.072
Na 0.263 0.750 0.572
Na 0.737 0.250 0.428
Na 0.763 0.750 0.928
La 0.023 0.250 0.339
La 0.477 0.750 0.839
La 0.523 0.250 0.161
La 0.977 0.750 0.661
Zn 0.013 0.750 0.092
Zn 0.487 0.250 0.592
Zn 0.513 0.750 0.408
Zn 0.987 0.250 0.908
S 0.087 0.750 0.898
S 0.107 0.250 0.569
S 0.141 0.750 0.229
S 0.359 0.250 0.729
S 0.393 0.750 0.069
S 0.413 0.250 0.398
S 0.587 0.750 0.602
S 0.607 0.250 0.931
S 0.641 0.750 0.271
S 0.859 0.250 0.771
S 0.893 0.750 0.431
S 0.913 0.250 0.102


Tell me which of them is the most stable. Sure, it is i.


i.
NaLaZnTe3: optimized geometry, PBE.

## Properties
Space-group type: Pnma

Cell: 12.138 4.439 14.588 Å, 90.00 90.00 90.00°
Positions (direct):
Na 0.231 0.250 0.012
Na 0.269 0.750 0.512
Na 0.731 0.250 0.488
Na 0.769 0.750 0.988
La 0.007 0.750 0.743
La 0.493 0.250 0.243
La 0.507 0.750 0.757
La 0.993 0.250 0.257
Zn 0.243 0.750 0.218
Zn 0.257 0.250 0.718
Zn 0.743 0.750 0.282
Zn 0.757 0.250 0.782
Te 0.065 0.750 0.110
Te 0.089 0.250 0.600
Te 0.246 0.250 0.332
Te 0.254 0.750 0.832
Te 0.411 0.750 0.100
Te 0.435 0.250 0.610
Te 0.565 0.750 0.390
Te 0.589 0.250 0.900
Te 0.746 0.250 0.168
Te 0.754 0.750 0.668
Te 0.911 0.750 0.400
Te 0.935 0.250 0.890


ii.
NaLaZnTe3: optimized geometry, PBE.

## Properties
Space-group type: P2_1/m

Cell: 8.980 4.458 10.570 Å, 90.00 103.08 90.00°
Positions (direct):
Na 0.221 0.250 0.244
Na 0.779 0.750 0.756
La 0.311 0.750 0.856
La 0.689 0.250 0.144
Zn 0.080 0.250 0.603
Zn 0.920 0.750 0.397
Te 0.052 0.250 0.848
Te 0.222 0.750 0.532
Te 0.441 0.750 0.166
Te 0.559 0.250 0.834
Te 0.778 0.250 0.468
Te 0.948 0.750 0.152


iii.
NaLaZnTe3: optimized geometry, PBE.

## Properties
Space-group type: Pnma

Cell: 9.041 4.519 18.415 Å, 90.00 90.00 90.00°
Positions (direct):
Na 0.064 0.250 0.223
Na 0.436 0.750 0.723
Na 0.564 0.250 0.277
Na 0.936 0.750 0.777
La 0.237 0.250 0.950
La 0.263 0.750 0.450
La 0.737 0.250 0.550
La 0.763 0.750 0.050
Zn 0.127 0.250 0.644
Zn 0.373 0.750 0.144
Zn 0.627 0.250 0.856
Zn 0.873 0.750 0.356
Te 0.001 0.750 0.586
Te 0.125 0.750 0.061
Te 0.198 0.250 0.780
Te 0.302 0.750 0.280
Te 0.375 0.250 0.561
Te 0.499 0.250 0.086
Te 0.501 0.750 0.914
Te 0.625 0.750 0.439
Te 0.698 0.250 0.720
Te 0.802 0.750 0.220
Te 0.875 0.250 0.939
Te 0.999 0.250 0.414


Tell me which of them is the most stable. Sure, it is i.


i.
NaLaZnTe3: optimized geometry, PBE.

## Properties
Space-group type: C2/m

Cell: 10.779 10.779 8.665 Å, 104.54 104.54 24.12°
Positions (direct):
Na 0.113 0.113 0.076
Na 0.887 0.887 0.924
La 0.171 0.171 0.591
La 0.829 0.829 0.409
Zn 0.459 0.459 0.270
Zn 0.541 0.541 0.730
Te 0.000 0.000 0.500
Te 0.327 0.327 0.662
Te 0.332 0.332 0.148
Te 0.500 0.500 0.000
Te 0.668 0.668 0.852
Te 0.673 0.673 0.338


ii.
NaLaZnTe3: optimized geometry, PBE.

## Properties
Space-group type: Cmcm

Cell: 7.622 7.622 12.113 Å, 90.00 90.00 146.17°
Positions (direct):
Na 0.239 0.761 0.750
Na 0.761 0.239 0.250
La 0.000 0.000 0.000
La 0.000 0.000 0.500
Zn 0.467 0.533 0.250
Zn 0.533 0.467 0.750
Te 0.083 0.917 0.250
Te 0.355 0.645 0.076
Te 0.355 0.645 0.424
Te 0.645 0.355 0.576
Te 0.645 0.355 0.924
Te 0.917 0.083 0.750


iii.
NaLaZnTe3: optimized geometry, PBE.

## Properties
Space-group type: Pnma

Cell: 12.640 4.506 13.168 Å, 90.00 90.00 90.00°
Positions (direct):
Na 0.186 0.250 0.010
Na 0.314 0.750 0.510
Na 0.686 0.250 0.490
Na 0.814 0.750 0.990
La 0.028 0.250 0.315
La 0.472 0.750 0.815
La 0.528 0.250 0.185
La 0.972 0.750 0.685
Zn 0.249 0.750 0.209
Zn 0.251 0.250 0.709
Zn 0.749 0.750 0.291
Zn 0.751 0.250 0.791
Te 0.053 0.750 0.139
Te 0.106 0.250 0.562
Te 0.208 0.750 0.819
Te 0.292 0.250 0.319
Te 0.394 0.750 0.062
Te 0.447 0.250 0.639
Te 0.553 0.750 0.361
Te 0.606 0.250 0.938
Te 0.708 0.750 0.681
Te 0.792 0.250 0.181
Te 0.894 0.750 0.438
Te 0.947 0.250 0.861


Tell me which of them is the most stable. Sure, it is ii.


i.
LaNb2: optimized geometry, PBE.

## Properties
Space-group type: Fd-3m

Cell: 5.819 5.819 5.819 Å, 60.00 60.00 60.00°
Positions (direct):
La 0.125 0.125 0.125
La 0.875 0.875 0.875
Nb 0.000 0.500 0.500
Nb 0.500 0.000 0.500
Nb 0.500 0.500 0.000
Nb 0.500 0.500 0.500


ii.
LaNb2: optimized geometry, PBE.

## Properties
Space-group type: Fd-3m

Cell: 8.063 8.063 8.063 Å, 60.00 60.00 60.00°
Positions (direct):
La 0.125 0.125 0.125
La 0.875 0.875 0.875
Nb 0.000 0.000 0.000
Nb 0.000 0.000 0.500
Nb 0.000 0.500 0.000
Nb 0.500 0.000 0.000


Tell me which of them is the most stable. Sure, it is i.


i.
La2Nb: optimized geometry, PBE.

## Properties
Space-group type: Fd-3m

Cell: 8.473 8.473 8.473 Å, 60.00 60.00 60.00°
Positions (direct):
La 0.000 0.000 0.000
La 0.000 0.000 0.500
La 0.000 0.500 0.000
La 0.500 0.000 0.000
Nb 0.125 0.125 0.125
Nb 0.875 0.875 0.875


ii.
La2Nb: optimized geometry, PBE.

## Properties
Space-group type: Fd-3m

Cell: 6.243 6.243 6.243 Å, 60.00 60.00 60.00°
Positions (direct):
La 0.000 0.000 0.000
La 0.000 0.000 0.500
La 0.000 0.500 0.000
La 0.500 0.000 0.000
Nb 0.375 0.375 0.375
Nb 0.625 0.625 0.625


Tell me which of them is the most stable. Sure, it is ii.


i.
LaNbPb: optimized geometry, PBE.

## Properties
Space-group type: F-43m

Cell: 5.075 5.075 5.075 Å, 60.00 60.00 60.00°
Positions (direct):
La 0.000 0.000 0.000
Nb 0.500 0.500 0.500
Pb 0.250 0.250 0.250


ii.
LaNbPb: optimized geometry, PBE.

## Properties
Space-group type: F-43m

Cell: 5.221 5.221 5.221 Å, 60.00 60.00 60.00°
Positions (direct):
La 0.000 0.000 0.000
Nb 0.750 0.750 0.750
Pb 0.250 0.250 0.250


Tell me which of them is the most stable. Sure, it is i.


i.
LaNbPt: optimized geometry, PBE.

## Properties
Space-group type: F-43m

Cell: 4.779 4.779 4.779 Å, 60.00 60.00 60.00°
Positions (direct):
La 0.000 0.000 0.000
Nb 0.500 0.500 0.500
Pt 0.250 0.250 0.250


ii.
LaNbPt: optimized geometry, PBE.

## Properties
Space-group type: F-43m

Cell: 4.696 4.696 4.696 Å, 60.00 60.00 60.00°
Positions (direct):
La 0.000 0.000 0.000
Nb 0.750 0.750 0.750
Pt 0.250 0.250 0.250


Tell me which of them is the most stable. Sure, it is i.


i.
LaNbSb: optimized geometry, PBE.

## Properties
Space-group type: F-43m

Cell: 4.980 4.980 4.980 Å, 60.00 60.00 60.00°
Positions (direct):
La 0.000 0.000 0.000
Nb 0.500 0.500 0.500
Sb 0.250 0.250 0.250


ii.
LaNbSb: optimized geometry, PBE.

## Properties
Space-group type: F-43m

Cell: 5.198 5.198 5.198 Å, 60.00 60.00 60.00°
Positions (direct):
La 0.000 0.000 0.000
Nb 0.750 0.750 0.750
Sb 0.250 0.250 0.250


Tell me which of them is the most stable. Sure, it is i.